(1)
An optimized crystal structure of AcTb2NpO8. Source: Alexandria via LeMat-Bulk, functional PBE.

Values from the calculation:
D(E_F) (states/eV/f.u.): 1.50
Crystal system: monoclinic
ΔE_f (raw) (kcal/mol of atoms): -72.65
Theoretical density (g/cm³): 8.97
VASP energy (eV per atom): -8.65

a b c (Å): 4.0372 7.6182 5.4945
angles (deg): 90.00 94.80 90.00
With the nearest neighbours (Å) after each atom.
Fractional coordinates of all 12 atoms:
Ac1 0.0000 0.0000 0.0000  8 O 2.44-2.59
Tb1 0.5000 0.2462 0.5000  8 O 2.27-2.50
Tb2 0.5000 0.7538 0.5000  8 O 2.27-2.50
Np1 0.0000 0.5000 0.0000  6 O 2.08-2.09
O1 0.0344 0.2901 0.7584  1 Np 2.09
O2 0.0344 0.7099 0.7584  1 Np 2.09
O3 0.4436 0.5000 0.2211  1 Np 2.08
O4 0.4851 0.0000 0.7320  2 Tb 2.27, 1 Ac 2.44
O5 0.5149 0.0000 0.2680  2 Tb 2.27, 1 Ac 2.44
O6 0.5564 0.5000 0.7789  1 Np 2.08
O7 0.9656 0.2901 0.2416  1 Np 2.09
O8 0.9656 0.7099 0.2416  1 Np 2.09



(2)
An optimized crystal structure of PuInAgCl6. Source: Alexandria via LeMat-Bulk, functional PBE.

Values from the calculation:
D(E_F) (states/eV/f.u.): 4.78
Crystal system: trigonal
ΔE_f (raw) (kcal/mol of atoms): -28.49
Theoretical density (g/cm³): 3.98
VASP energy (eV per atom): -4.68

a b c (Å): 6.9164 6.9164 6.8465
angles (deg): 90.00 90.00 120.00
With the nearest neighbours (Å) after each atom.
Fractional coordinates of all 9 atoms:
Pu1 0.0000 0.0000 0.0000  6 Cl 2.63
In1 0.3333 0.6667 0.5000  6 Cl 3.11
Ag1 0.6667 0.3333 0.0000  6 Cl 2.78
Cl1 0.3159 0.0133 0.2230  1 Pu 2.63, 1 Ag 2.78
Cl2 0.3159 0.3025 0.7770  1 Pu 2.63, 1 Ag 2.78
Cl3 0.6975 0.0133 0.7770  1 Pu 2.63, 1 Ag 2.78
Cl4 0.6975 0.6841 0.2230  1 Pu 2.63, 1 Ag 2.78
Cl5 0.9867 0.3025 0.2230  1 Pu 2.63, 1 Ag 2.78
Cl6 0.9867 0.6841 0.7770  1 Pu 2.63, 1 Ag 2.78



(3)
An optimized crystal structure of TcOsI2N. Source: Alexandria via LeMat-Bulk, functional PBE.

Values from the calculation:
D(E_F) (states/eV/f.u.): 6.71
Crystal system: tetragonal
ΔE to the lowest computed polymorph (meV per atom): 303
ΔE_f (raw) (kcal/mol of atoms): 32.44
Theoretical density (g/cm³): 8.77
VASP energy (eV per atom): -5.20

a b c (Å): 5.3647 5.3647 3.6594
angles (deg): 90.00 90.00 90.00
With the nearest neighbours (Å) after each atom.
Fractional coordinates of all 5 atoms:
Tc1 0.0000 0.0000 0.0000  2 N 1.83
Os1 0.5000 0.5000 0.5000  8 I 3.25
I1 0.0000 0.5000 0.0000  2 Tc 2.68
I2 0.5000 0.0000 0.0000  2 Tc 2.68
N1 0.0000 0.0000 0.5000  2 Tc 1.83



Number 2 is which compound?
PuInAgCl6



Which value of D(E_F) does entry 3 give?
6.71 states/eV/f.u.



Which of these has the lowest D(E_F)?
AcTb2NpO8



The lowest ΔE_f (raw) belongs to which entry?
AcTb2NpO8